Model 1:
NaMnOs2 | PBE | optimized geometry

Results
Space-group type: I-42d, No. 122

a = 5.6595 Å, b = 5.6595 Å, c = 5.6595 Å
α = 101.54°, β = 101.54°, γ = 126.85°
Sites, in units of the cell vectors:
Na 0.0000 0.0000 0.0000
Na 0.7500 0.2500 0.5000
Mn 0.2500 0.7500 0.5000
Mn 0.5000 0.5000 0.0000
Os 0.1894 0.6250 0.0644
Os 0.3750 0.4394 0.5644
Os 0.5606 0.1250 0.9356
Os 0.8750 0.8106 0.4356



Model 2:
NaMnOs2 | PBE | optimized geometry

Results
Space-group type: Fm-3m, No. 225

a = 4.2647 Å, b = 4.2647 Å, c = 4.2647 Å
α = 60.00°, β = 60.00°, γ = 60.00°
Sites, in units of the cell vectors:
Na 0.0000 0.0000 0.0000
Mn 0.5000 0.5000 0.5000
Os 0.2500 0.2500 0.2500
Os 0.7500 0.7500 0.7500



It is model 1 that is the least stable of them.



Model 1:
NaMnP2 | PBE | optimized geometry

Results
Space-group type: R-3m, No. 166

a = 7.7733 Å, b = 7.7733 Å, c = 7.7733 Å
α = 23.67°, β = 23.67°, γ = 23.67°
Sites, in units of the cell vectors:
Na 0.0000 0.0000 0.0000
Mn 0.5000 0.5000 0.5000
P 0.2321 0.2321 0.2321
P 0.7679 0.7679 0.7679



Model 2:
NaMnP2 | PBE | optimized geometry

Results
Space-group type: Fm-3m, No. 225

a = 4.4566 Å, b = 4.4566 Å, c = 4.4566 Å
α = 60.00°, β = 60.00°, γ = 60.00°
Sites, in units of the cell vectors:
Na 0.0000 0.0000 0.0000
Mn 0.5000 0.5000 0.5000
P 0.2500 0.2500 0.2500
P 0.7500 0.7500 0.7500



It is model 2 that is the least stable of them.